Below is a geometry-optimized MoSeBr2F structure, with properties calculated at the GGA+U level.

abc: 5.625 5.625 3.917
angles: 90.00 90.00 90.00
Last column: magnetic moment on the atom in μB.
Element x y z (fractional)
Se 0.000 0.000 0.500  -0.55
F 0.000 0.000 0.000  -0.05
Mo 0.500 0.500 0.500  3.90
Br 0.000 0.500 0.000  -0.16
Br 0.500 0.000 0.000  -0.16

Output
**Symmetry**: P4/mmm, No. 123
**ΔE to the lowest computed polymorph**: 177 meV per atom
**Mass density**: 4.7 g/cm3